A plane-wave DFT calculation with GGA-PBE was carried out for a relaxed structure of CrH3Os.

Cell: 3.285 3.285 3.285 Å, 90.00 90.00 90.00°
Element x y z (fractional)
Os  0.500  0.500  0.500
Cr  0.000  0.000  0.000
H  0.000  0.000  0.500
H  0.000  0.500  0.000
H  0.500  0.000  0.000

Summary:
Relative energy among the computed polymorphs (meV per atom): 32.0
D(E_F) (states/eV per cell): 2.527

A plane-wave DFT calculation with GGA-PBE was carried out for a relaxed structure of CrH2Os.

Cell: 3.640 3.640 3.640 Å, 60.00 60.00 60.00°
Element x y z (fractional)
H  0.750  0.750  0.750
H  0.250  0.250  0.250
Cr  0.000  0.000  0.000
Os  0.500  0.500  0.500

Summary:
Relative energy among the computed polymorphs (meV per atom): 548.6
D(E_F) (states/eV per cell): 2.754

A plane-wave DFT calculation with GGA-PBE was carried out for a relaxed structure of Cr2H2Os.

Cell: 5.684 5.684 2.725 Å, 90.00 90.00 90.00°
Element x y z (fractional)
H  0.804  0.696  0.000
H  0.196  0.304  0.000
H  0.696  0.196  0.000
H  0.304  0.804  0.000
Cr  0.633  0.867  0.500
Cr  0.867  0.367  0.500
Cr  0.367  0.133  0.500
Cr  0.133  0.633  0.500
Os  0.500  0.500  0.000
Os  0.000  0.000  0.000

Summary:
Relative energy among the computed polymorphs (meV per atom): 249.0
D(E_F) (states/eV per cell): 3.548

A plane-wave DFT calculation with GGA-PBE was carried out for a relaxed structure of Cr3HOs.

Cell: 3.723 3.723 3.723 Å, 90.00 90.00 90.00°
Element x y z (fractional)
Cr  0.000  0.500  0.000
Cr  0.000  0.000  0.500
Cr  0.500  0.000  0.000
H  0.000  0.000  0.000
Os  0.500  0.500  0.500

Summary:
Relative energy among the computed polymorphs (meV per atom): 0.0
D(E_F) (states/eV per cell): 4.726

A plane-wave DFT calculation with GGA-PBE was carried out for a relaxed structure of CrH2Os2.

Cell: 2.841 2.841 6.130 Å, 76.60 76.60 90.00°
Element x y z (fractional)
Cr  0.000  0.000  0.000
H  0.250  0.750  0.500
H  0.750  0.250  0.500
Os  0.639  0.639  0.722
Os  0.361  0.361  0.278

Summary:
D(E_F) (states/eV per cell): 3.221

A plane-wave DFT calculation with GGA-PBE was carried out for a relaxed structure of CrH2Os.

Cell: 4.013 4.013 4.956 Å, 66.12 66.12 90.00°
Element x y z (fractional)
Cr  0.250  0.750  0.500
Cr  0.500  0.500  0.000
H  0.375  0.391  0.750
H  0.875  0.859  0.750
H  0.141  0.625  0.250
H  0.609  0.125  0.250
Os  0.000  0.000  0.000
Os  0.750  0.250  0.500

Summary:
Relative energy among the computed polymorphs (meV per atom): 0.0
D(E_F) (states/eV per cell): 5.021

A plane-wave DFT calculation with GGA-PBE was carried out for a relaxed structure of CrH3Os.

Cell: 3.386 3.386 3.386 Å, 90.00 90.00 90.00°
Element x y z (fractional)
H  0.500  0.000  0.000
H  0.000  0.000  0.500
H  0.000  0.500  0.000
Os  0.000  0.000  0.000
Cr  0.500  0.500  0.500

Summary:
Relative energy among the computed polymorphs (meV per atom): 0.0
D(E_F) (states/eV per cell): 5.501

A plane-wave DFT calculation with GGA-PBE was carried out for a relaxed structure of Cr3HOs.

Cell: 3.719 4.572 7.463 Å, 113.94 90.00 114.00°
Element x y z (fractional)
Cr  0.872  0.744  0.553
Cr  0.381  0.761  0.816
Cr  0.619  0.239  0.184
Cr  0.130  0.260  0.934
Cr  0.870  0.740  0.066
Cr  0.128  0.256  0.447
H  0.886  0.772  0.818
H  0.114  0.228  0.182
Os  0.622  0.245  0.689
Os  0.378  0.755  0.311

Summary:
Relative energy among the computed polymorphs (meV per atom): 38.5
D(E_F) (states/eV per cell): 10.164

A plane-wave DFT calculation with GGA-PBE was carried out for a relaxed structure of Cr2H2Os.

Cell: 2.742 2.742 6.079 Å, 76.97 76.97 90.00°
Element x y z (fractional)
Cr  0.652  0.652  0.697
Cr  0.348  0.348  0.303
H  0.750  0.250  0.500
H  0.250  0.750  0.500
Os  0.000  0.000  0.000

Summary:
Relative energy among the computed polymorphs (meV per atom): 0.0
D(E_F) (states/eV per cell): 3.802

A plane-wave DFT calculation with GGA-PBE was carried out for a relaxed structure of Cr3HOs.

Cell: 4.728 4.728 4.728 Å, 90.00 90.00 90.00°
Element x y z (fractional)
Os  0.000  0.000  0.000
Cr  0.500  0.000  0.000
Cr  0.000  0.000  0.500
Cr  0.000  0.500  0.000
H  0.500  0.500  0.500

Summary:
Relative energy among the computed polymorphs (meV per atom): 1663.9
D(E_F) (states/eV per cell): 4.428

A plane-wave DFT calculation with GGA-PBE was carried out for a relaxed structure of Cr2HOsPd.

Cell: 3.816 3.816 3.763 Å, 90.00 90.00 90.00°
Element x y z (fractional)
Cr  0.000  0.500  0.000
Cr  0.500  0.000  0.000
H  0.000  0.000  0.000
Pd  0.000  0.000  0.500
Os  0.500  0.500  0.500

Summary:
D(E_F) (states/eV per cell): 4.614

A plane-wave DFT calculation with GGA-PBE was carried out for a relaxed structure of CrHOs2Pt.

Cell: 3.880 3.880 3.893 Å, 90.00 90.00 90.00°
Element x y z (fractional)
Cr  0.000  0.000  0.500
Os  0.000  0.500  0.000
Os  0.500  0.000  0.000
Pt  0.500  0.500  0.500
H  0.000  0.000  0.000

Summary:
D(E_F) (states/eV per cell): 3.898

A plane-wave DFT calculation with GGA-PBE was carried out for a relaxed structure of Cr2ReHOs.

Cell: 3.802 3.802 3.817 Å, 90.00 90.00 90.00°
Element x y z (fractional)
Cr  0.500  0.000  0.000
Cr  0.000  0.500  0.000
Re  0.000  0.000  0.500
H  0.000  0.000  0.000
Os  0.500  0.500  0.500

Summary:
Relative energy among the computed polymorphs (meV per atom): 2.3
D(E_F) (states/eV per cell): 5.249

A plane-wave DFT calculation with GGA-PBE was carried out for a relaxed structure of Cr2ReHOs.

Cell: 3.824 3.824 3.773 Å, 90.00 90.00 90.00°
Element x y z (fractional)
Os  0.000  0.000  0.500
Cr  0.000  0.500  0.000
Cr  0.500  0.000  0.000
Re  0.500  0.500  0.500
H  0.000  0.000  0.000

Summary:
Relative energy among the computed polymorphs (meV per atom): 0.0
D(E_F) (states/eV per cell): 4.278

A plane-wave DFT calculation with GGA-PBE was carried out for a relaxed structure of CrReHOs2.

Cell: 3.877 3.877 3.856 Å, 90.00 90.00 90.00°
Element x y z (fractional)
Os  0.500  0.000  0.000
Os  0.000  0.500  0.000
Re  0.500  0.500  0.500
Cr  0.000  0.000  0.500
H  0.000  0.000  0.000

Summary:
D(E_F) (states/eV per cell): 4.302

A plane-wave DFT calculation with GGA-PBE was carried out for a relaxed structure of CrRe2HOs.

Cell: 3.896 3.896 3.848 Å, 90.00 90.00 90.00°
Element x y z (fractional)
Os  0.500  0.500  0.500
Re  0.500  0.000  0.000
Re  0.000  0.500  0.000
H  0.000  0.000  0.000
Cr  0.000  0.000  0.500

Summary:
D(E_F) (states/eV per cell): 3.556

A plane-wave DFT calculation with GGA-PBE was carried out for a relaxed structure of Cr2HOsRh.

Cell: 3.801 3.801 3.752 Å, 90.00 90.00 90.00°
Element x y z (fractional)
Cr  0.500  0.000  0.000
Cr  0.000  0.500  0.000
Rh  0.500  0.500  0.500
Os  0.000  0.000  0.500
H  0.000  0.000  0.000

Summary:
Relative energy among the computed polymorphs (meV per atom): 21.0
D(E_F) (states/eV per cell): 4.435

A plane-wave DFT calculation with GGA-PBE was carried out for a relaxed structure of Cr2HOsRh.

Cell: 3.817 3.817 3.709 Å, 90.00 90.00 90.00°
Element x y z (fractional)
Cr  0.000  0.500  0.000
Cr  0.500  0.000  0.000
Os  0.500  0.500  0.500
H  0.000  0.000  0.000
Rh  0.000  0.000  0.500

Summary:
Relative energy among the computed polymorphs (meV per atom): 0.0
D(E_F) (states/eV per cell): 4.103

A plane-wave DFT calculation with GGA-PBE was carried out for a relaxed structure of CrSiHOs2.

Cell: 3.983 3.551 3.983 Å, 90.00 90.00 90.00°
Element x y z (fractional)
Os  0.000  0.000  0.500
Os  0.500  0.000  0.000
Si  0.500  0.500  0.500
H  0.000  0.000  0.000
Cr  0.000  0.500  0.000

Summary:
D(E_F) (states/eV per cell): 3.781

A plane-wave DFT calculation with GGA-PBE was carried out for a relaxed structure of TaCrHOs2.

Cell: 3.950 3.950 3.889 Å, 90.00 90.00 90.00°
Element x y z (fractional)
Ta  0.500  0.500  0.500
Os  0.000  0.500  0.000
Os  0.500  0.000  0.000
H  0.000  0.000  0.000
Cr  0.000  0.000  0.500

Summary:
Relative energy among the computed polymorphs (meV per atom): 0.0
D(E_F) (states/eV per cell): 5.226

Number 1: DFT total energy -5.52 eV per atom, calculated volume 35.5 Å³ per cell. Number 2: DFT total energy -6.07 eV per atom, calculated volume 34.1 Å³ per cell. Number 3: DFT total energy -7.15 eV per atom, calculated volume 88.1 Å³ per cell. Number 4: DFT total energy -8.60 eV per atom, calculated volume 51.6 Å³ per cell. Number 5: DFT total energy -7.45 eV per atom, calculated volume 46.8 Å³ per cell. Number 6: DFT total energy -6.62 eV per atom, calculated volume 65.4 Å³ per cell. Number 7: DFT total energy -5.55 eV per atom, calculated volume 38.8 Å³ per cell. Number 8: DFT total energy -8.56 eV per atom, calculated volume 103.9 Å³ per cell. Number 9: DFT total energy -7.40 eV per atom, calculated volume 43.3 Å³ per cell. Number 10: DFT total energy -6.93 eV per atom, calculated volume 105.7 Å³ per cell. Number 11: DFT total energy -7.64 eV per atom, calculated volume 54.8 Å³ per cell. Number 12: DFT total energy -8.21 eV per atom, calculated volume 58.6 Å³ per cell. Number 13: DFT total energy -9.14 eV per atom, calculated volume 55.2 Å³ per cell. Number 14: DFT total energy -9.14 eV per atom, calculated volume 55.2 Å³ per cell. Number 15: DFT total energy -9.45 eV per atom, calculated volume 57.9 Å³ per cell. Number 16: DFT total energy -9.69 eV per atom, calculated volume 58.4 Å³ per cell. Number 17: DFT total energy -8.18 eV per atom, calculated volume 54.2 Å³ per cell. Number 18: DFT total energy -8.21 eV per atom, calculated volume 54.0 Å³ per cell. Number 19: DFT total energy -8.05 eV per atom, calculated volume 56.4 Å³ per cell. Number 20: DFT total energy -9.45 eV per atom, calculated volume 60.7 Å³ per cell.